Entry 1:
A plane-wave DFT calculation with PBE was carried out for a relaxed CsNaBe2I6 crystal.

Properties
For the total moment, the calculation gives 0.00 μB per formula unit. The total energy comes out at -2.765 eV/atom. Its symmetry is C2/c (15). As for the uncorrected formation energy: -0.8719 eV per atom.

a = 12.2567 Å, b = 12.2567 Å, c = 9.3108 Å
α = 105.23°, β = 105.23°, γ = 118.80°
Last column: nearest neighbours and their distance in Å.
Positions (direct):
Be (0.8205, 0.5758, 0.7253)  3 I 2.29-2.33
I (0.1643, 0.2406, 0.0961)  1 Be 2.31
Cs (0.1754, 0.8246, 0.2500)  6 I 3.93-4.09
I (0.6103, 0.3945, 0.0061)  1 Be 2.33
I (0.8357, 0.7594, 0.9039)  1 Be 2.31
I (0.0070, 0.5638, 0.7746)  1 Be 2.29
Na (0.4983, 0.5017, 0.2500)  6 I 3.25-3.31, 2 Be 3.64
I (0.4362, 0.9930, 0.7254)  1 Be 2.29
Be (0.1795, 0.4242, 0.2747)  3 I 2.29-2.33
Cs (0.8246, 0.1754, 0.7500)  6 I 3.93-4.09
I (0.3945, 0.6103, 0.5061)  1 Be 2.33
I (0.2406, 0.1643, 0.5961)  1 Be 2.31
I (0.7594, 0.8357, 0.4039)  1 Be 2.31
I (0.6055, 0.3897, 0.4939)  1 Be 2.33
I (0.9930, 0.4362, 0.2254)  1 Be 2.29
I (0.3897, 0.6055, 0.9939)  1 Be 2.33
Be (0.4242, 0.1795, 0.7747)  3 I 2.29-2.33
Be (0.5758, 0.8205, 0.2253)  3 I 2.29-2.33
Na (0.5017, 0.4983, 0.7500)  6 I 3.25-3.31, 2 Be 3.64
I (0.5638, 0.0070, 0.2746)  1 Be 2.29



Entry 2:
A plane-wave DFT calculation with PBE was carried out for a relaxed Pm2PrN crystal.

Properties
For the total moment, the calculation gives 0.00 μB per formula unit. The total energy comes out at -6.308 eV/atom. Its symmetry is R-3m (166). As for the uncorrected formation energy: -0.6566 eV per atom.

a = 3.6201 Å, b = 3.6201 Å, c = 9.6435 Å
α = 79.18°, β = 79.18°, γ = 60.00°
Last column: nearest neighbours and their distance in Å.
Positions (direct):
Pm (0.7161, 0.7161, 0.8516)  3 N 2.51
Pm (0.2839, 0.2839, 0.1484)  3 N 2.51
N (0.0000, 0.0000, 0.0000)  6 Pm 2.51
Pr (0.5000, 0.5000, 0.5000)  6 Pr 3.62, 6 Pm 3.91



Entry 3:
A plane-wave DFT calculation with PBE was carried out for a relaxed GdHoHgRu crystal.

Properties
For the total moment, the calculation gives 7.16 μB per formula unit. For the calculated formation energy, the calculation gives -0.34 eV per atom. The total energy comes out at -7.404 eV/atom. Its symmetry is F-43m (216).

a = 5.0419 Å, b = 5.0419 Å, c = 5.0419 Å
α = 60.00°, β = 60.00°, γ = 60.00°
Last column: nearest neighbours and their distance in Å.
Positions (direct):
Hg (0.2500, 0.2500, 0.2500)  4 Gd 3.09, 4 Ho 3.09
Ho (0.5000, 0.5000, 0.5000)  4 Hg 3.09, 4 Ru 3.09
Ru (0.7500, 0.7500, 0.7500)  4 Gd 3.09, 4 Ho 3.09
Gd (0.0000, 0.0000, 0.0000)  4 Hg 3.09, 4 Ru 3.09



total moment of number 2 (Pm2PrN)?
0.00 μB per formula unit